# 1
VASP calculation (PBE) on DyLuTcAg after structural relaxation.

Computed properties:
Magnetization = 0.00 μB per formula unit
Raw total energy = -5.743 eV/atom
E_form = -0.158 eV per atom

a = 6.958 Å, b = 6.958 Å, c = 6.958 Å
α = 90.00°, β = 90.00°, γ = 90.00°
Element x y z (fractional)
Dy  0.000  0.000  0.000
Dy  0.000  0.500  0.500
Dy  0.500  0.000  0.500
Dy  0.500  0.500  0.000
Lu  0.000  0.000  0.500
Lu  0.000  0.500  0.000
Lu  0.500  0.000  0.000
Lu  0.500  0.500  0.500
Tc  0.250  0.250  0.750
Tc  0.250  0.750  0.250
Tc  0.750  0.250  0.250
Tc  0.750  0.750  0.750
Ag  0.250  0.250  0.250
Ag  0.250  0.750  0.750
Ag  0.750  0.250  0.750
Ag  0.750  0.750  0.250



# 2
VASP calculation (PBE) on DyYLuAg after structural relaxation.

Computed properties:
Magnetization = 0.00 μB per formula unit
Raw total energy = -4.567 eV/atom
E_form = 0.043 eV per atom

a = 7.556 Å, b = 7.556 Å, c = 7.556 Å
α = 90.00°, β = 90.00°, γ = 90.00°
Element x y z (fractional)
Dy  0.000  0.000  0.000
Dy  0.000  0.500  0.500
Dy  0.500  0.000  0.500
Dy  0.500  0.500  0.000
Y  0.000  0.000  0.500
Y  0.000  0.500  0.000
Y  0.500  0.000  0.000
Y  0.500  0.500  0.500
Lu  0.250  0.250  0.750
Lu  0.250  0.750  0.250
Lu  0.750  0.250  0.250
Lu  0.750  0.750  0.750
Ag  0.250  0.250  0.250
Ag  0.250  0.750  0.750
Ag  0.750  0.250  0.750
Ag  0.750  0.750  0.250



# 3
VASP calculation (PBE) on DyMg2Ag after structural relaxation.

Computed properties:
Magnetization = 0.00 μB per formula unit
Raw total energy = -2.739 eV/atom
E_form = -0.079 eV per atom

a = 7.066 Å, b = 7.066 Å, c = 7.066 Å
α = 90.00°, β = 90.00°, γ = 90.00°
Element x y z (fractional)
Dy  0.000  0.000  0.000
Dy  0.000  0.500  0.500
Dy  0.500  0.000  0.500
Dy  0.500  0.500  0.000
Mg  0.250  0.250  0.250
Mg  0.250  0.250  0.750
Mg  0.250  0.750  0.250
Mg  0.250  0.750  0.750
Mg  0.750  0.250  0.250
Mg  0.750  0.250  0.750
Mg  0.750  0.750  0.250
Mg  0.750  0.750  0.750
Ag  0.000  0.000  0.500
Ag  0.000  0.500  0.000
Ag  0.500  0.000  0.000
Ag  0.500  0.500  0.500



# 4
VASP calculation (PBE) on Dy2Mg3Ag2 after structural relaxation.

Computed properties:
Magnetization = 0.00 μB per formula unit
Raw total energy = -3.040 eV/atom
E_form = -0.227 eV per atom

a = 10.200 Å, b = 4.636 Å, c = 7.489 Å
α = 90.00°, β = 112.10°, γ = 90.00°
Element x y z (fractional)
Dy  0.138  0.000  0.281
Dy  0.362  0.500  0.719
Dy  0.638  0.500  0.281
Dy  0.862  0.000  0.719
Mg  0.000  0.500  0.500
Mg  0.128  0.500  0.938
Mg  0.372  0.000  0.062
Mg  0.500  0.000  0.500
Mg  0.628  0.000  0.938
Mg  0.872  0.500  0.062
Ag  0.154  0.000  0.701
Ag  0.346  0.500  0.299
Ag  0.654  0.500  0.701
Ag  0.846  0.000  0.299



- The lowest E_form belongs to which entry?
  Dy2Mg3Ag2